An optimized crystal structure of Y3RhW, computed with PBE.

Computed properties:
relative energy among the computed polymorphs = 0 meV/atom
crystal system = cubic
raw total energy = -7.30 eV/atom
volume = 140.94 Å³/f.u.

abc: 5.2041 5.2041 5.2041
angles: 90.00 90.00 90.00
Sites, in units of the cell vectors:
Y1 0.5000 0.0000 0.0000
Y2 0.0000 0.0000 0.5000
Y3 0.0000 0.5000 0.0000
W1 0.5000 0.5000 0.5000
Rh1 0.0000 0.0000 0.0000